# CaCrNO2

A relaxed structure of CaCrNO2 (PBE+U, Alexandria).

Density of states at the Fermi level ... 1.0 states/eV per cell
Calculated total energy ... -6.8599 eV per atom

abc: 3.911 3.911 3.685
angles: 90.00 90.00 90.00
Element x y z (fractional)
Cr1 0.000 0.000 0.000
Ca1 0.500 0.500 0.500
O1 0.000 0.500 0.000
O2 0.500 0.000 0.000
N1 0.000 0.000 0.500